No. 1
5
Lattice="5.432 0.000 0.000 0.000 5.432 0.000 0.000 0.000 5.402" Properties=species:S:1:pos:R:3 comment="InNiSeBr2 | Alexandria | PBE | optimized geometry" relative_energy_kj_per_mol_atoms=57.07 e_form_raw_mev_per_atom=441 total_energy_ha_per_atom=-0.09661 pbc="T T T"
In 0.000 0.000 0.000
Ni 2.716 2.716 2.701
Se 0.000 0.000 2.701
Br 0.000 2.716 0.000
Br 2.716 0.000 0.000

---

No. 2
5
Lattice="5.196 0.000 0.000 0.000 5.196 0.000 0.000 0.000 4.320" Properties=species:S:1:pos:R:3 comment="In2SiNiBr | Alexandria | PBE | optimized geometry" e_form_raw_mev_per_atom=-174 total_energy_ha_per_atom=-0.14129 pbc="T T T"
In 0.000 2.598 0.000
In 2.598 0.000 0.000
Si 0.000 0.000 2.160
Ni 0.000 0.000 0.000
Br 2.598 2.598 2.160